Computed, not measured: a geometry-optimized Eu2MoW2O12 structure at the PBE+U level of DFT.

Density of states at the Fermi level ... 53.81 states/eV/cell
Space group ... C2/c (15)
Calculated total energy ... -275.961 eV per cell

abc: 7.117 7.117 11.583
angles: 79.27 79.27 112.04
Each line ends with the local moment (μB).
Sites, in units of the cell vectors:
1 Eu 0.446 0.194 0.594  6.28
2 W 0.298 0.006 0.954  0.04
3 Eu 0.194 0.446 0.094  6.28
4 O 0.726 0.122 0.462  -0.10
5 O 0.144 0.300 0.304  -0.09
6 O 0.598 0.176 0.929  -0.04
7 O 0.485 0.899 0.722  -0.05
8 O 0.300 0.144 0.804  -0.09
9 O 0.899 0.485 0.222  -0.05
10 O 0.856 0.700 0.696  -0.09
11 O 0.475 0.556 0.611  -0.04
12 O 0.700 0.856 0.196  -0.09
13 O 0.101 0.171 0.562  -0.04
14 O 0.101 0.515 0.778  -0.05
15 O 0.444 0.525 0.889  -0.04
16 O 0.515 0.101 0.278  -0.05
17 O 0.122 0.726 0.962  -0.10
18 O 0.176 0.598 0.429  -0.04
19 O 0.829 0.899 0.938  -0.04
20 O 0.525 0.444 0.389  -0.04
21 O 0.402 0.824 0.071  -0.04
22 O 0.274 0.878 0.538  -0.10
23 Eu 0.554 0.806 0.406  6.28
24 O 0.171 0.101 0.062  -0.04
25 Mo 0.620 0.380 0.250  0.04
26 O 0.878 0.274 0.038  -0.10
27 O 0.824 0.402 0.571  -0.04
28 W 0.006 0.298 0.454  0.04
29 W 0.994 0.702 0.546  0.04
30 Mo 0.380 0.620 0.750  0.04
31 O 0.899 0.829 0.438  -0.04
32 O 0.556 0.475 0.111  -0.04
33 W 0.702 0.994 0.046  0.04
34 Eu 0.806 0.554 0.906  6.28